# 1
Computed, not measured: an optimized crystal structure of RbAgGe2I6 at the PBE level of DFT.

```
data_RbAgGe2I6
_chemical_formula_sum 'Rb2 Ag2 Ge4 I12'
_space_group_name_H-M_alt 'P 1'
_space_group_IT_number 1
_cell_length_a 10.2769
_cell_length_b 10.2724
_cell_length_c 10.2724
_cell_angle_alpha 92.65
_cell_angle_beta 71.28
_cell_angle_gamma 71.28
loop_
_space_group_symop_operation_xyz
'x,y,z'
loop_
_atom_site_label
_atom_site_type_symbol
_atom_site_fract_x
_atom_site_fract_y
_atom_site_fract_z
I1 I 0.4737 0.4410 0.3114
I2 I 0.9579 0.3761 0.8630
I3 I 0.1739 0.9395 0.7902
I4 I 0.0421 0.6239 0.1370
I5 I 0.3261 0.2098 0.0605
I6 I 0.5263 0.5590 0.6886
I7 I 0.4579 0.8630 0.3761
I8 I 0.8261 0.0605 0.2098
I9 I 0.0263 0.6886 0.5590
I10 I 0.6739 0.7902 0.9395
I11 I 0.5421 0.1370 0.6239
I12 I 0.9737 0.3114 0.4410
Ag1 Ag 0.7500 0.8130 0.1870
Ag2 Ag 0.2500 0.1870 0.8130
Ge1 Ge 0.6682 0.2920 0.4398
Ge2 Ge 0.3318 0.7080 0.5602
Ge3 Ge 0.8318 0.5602 0.7080
Ge4 Ge 0.1682 0.4398 0.2920
Rb1 Rb 0.2500 0.8790 0.1210
Rb2 Rb 0.7500 0.1210 0.8790
```

Output
For the formation energy without anion corrections, the calculation gives -483 meV/atom.

# 2
Computed, not measured: an optimized crystal structure of AgGeSb2I at the PBE level of DFT.

```
data_AgGeSb2I
_chemical_formula_sum 'Ag1 Ge1 Sb2 I1'
_space_group_name_H-M_alt 'P 1'
_space_group_IT_number 1
_cell_length_a 5.4113
_cell_length_b 5.4113
_cell_length_c 5.7024
_cell_angle_alpha 90.00
_cell_angle_beta 90.00
_cell_angle_gamma 90.00
loop_
_space_group_symop_operation_xyz
'x,y,z'
loop_
_atom_site_label
_atom_site_type_symbol
_atom_site_fract_x
_atom_site_fract_y
_atom_site_fract_z
Sb1 Sb 0.0000 0.5000 0.0000
Sb2 Sb 0.5000 0.0000 0.0000
Ag1 Ag 0.5000 0.5000 0.5000
I1 I 0.0000 0.0000 0.5000
Ge1 Ge 0.0000 0.0000 0.0000
```

Output
For the formation energy without anion corrections, the calculation gives 693 meV/atom. The calculation puts the offset from the most stable computed form at 0.0000 eV per atom.

# 3
Computed, not measured: an optimized crystal structure of AgGeSb2I at the PBE level of DFT.

```
data_AgGeSb2I
_chemical_formula_sum 'Ag1 Ge1 Sb2 I1'
_space_group_name_H-M_alt 'P 1'
_space_group_IT_number 1
_cell_length_a 5.3436
_cell_length_b 5.3436
_cell_length_c 5.6512
_cell_angle_alpha 90.00
_cell_angle_beta 90.00
_cell_angle_gamma 90.00
loop_
_space_group_symop_operation_xyz
'x,y,z'
loop_
_atom_site_label
_atom_site_type_symbol
_atom_site_fract_x
_atom_site_fract_y
_atom_site_fract_z
Ag1 Ag 0.0000 0.0000 0.0000
I1 I 0.0000 0.0000 0.5000
Ge1 Ge 0.5000 0.5000 0.5000
Sb1 Sb 0.5000 0.0000 0.0000
Sb2 Sb 0.0000 0.5000 0.0000
```

Output
For the formation energy without anion corrections, the calculation gives 767 meV/atom. The calculation puts the offset from the most stable computed form at 0.0743 eV per atom.

# 4
Computed, not measured: an optimized crystal structure of SrAgGeI5 at the PBE level of DFT.

```
data_SrAgGeI5
_chemical_formula_sum 'Sr2 Ag2 Ge2 I10'
_space_group_name_H-M_alt 'P 1'
_space_group_IT_number 1
_cell_length_a 8.3015
_cell_length_b 8.3015
_cell_length_c 12.2445
_cell_angle_alpha 107.99
_cell_angle_beta 107.99
_cell_angle_gamma 103.76
loop_
_space_group_symop_operation_xyz
'x,y,z'
loop_
_atom_site_label
_atom_site_type_symbol
_atom_site_fract_x
_atom_site_fract_y
_atom_site_fract_z
I1 I 0.6190 0.6695 0.9388
I2 I 0.0130 0.3610 0.2159
I3 I 0.3305 0.3810 0.5612
I4 I 0.3810 0.3305 0.0612
I5 I 0.1194 0.8806 0.2500
I6 I 0.9870 0.6390 0.7841
I7 I 0.3610 0.0130 0.7159
I8 I 0.6390 0.9870 0.2841
I9 I 0.6695 0.6190 0.4388
I10 I 0.8806 0.1194 0.7500
Ag1 Ag 0.6832 0.3168 0.2500
Ag2 Ag 0.3168 0.6832 0.7500
Ge1 Ge 0.3653 0.6347 0.2500
Ge2 Ge 0.6347 0.3653 0.7500
Sr1 Sr 0.0000 0.0000 0.5000
Sr2 Sr 0.0000 0.0000 0.0000
```

Output
For the formation energy without anion corrections, the calculation gives -711 meV/atom.